Record 1
Sb3IrSe | GGA-PBE | optimized geometry

a = 6.6926 Å, b = 10.2799 Å, c = 9.0766 Å
α = 120.40°, β = 90.00°, γ = 90.00°
Closest atoms and distances in Å follow each position.
Element x y z (fractional)
Sb (0.9061, 0.3617, 0.3119)  3 Ir 2.61-2.73
Sb (0.0939, 0.6383, 0.6881)  3 Ir 2.61-2.73
Sb (0.4061, 0.1383, 0.1881)  3 Ir 2.61-2.73
Sb (0.5939, 0.8617, 0.8119)  3 Ir 2.61-2.73
Sb (0.3842, 0.5863, 0.4150)  2 Ir 2.66-2.74, 1 Se 2.70, 1 Sb 2.98
Sb (0.6158, 0.4137, 0.5850)  2 Ir 2.66-2.74, 1 Se 2.70, 1 Sb 2.98
Sb (0.8842, 0.9137, 0.0850)  2 Ir 2.66-2.74, 1 Se 2.70, 1 Sb 2.98
Sb (0.1158, 0.0863, 0.9150)  2 Ir 2.66-2.74, 1 Se 2.70, 1 Sb 2.98
Sb (0.9552, 0.7637, 0.3891)  1 Ir 2.63, 2 Se 2.72-2.84
Sb (0.0448, 0.2363, 0.6109)  1 Ir 2.63, 2 Se 2.72-2.84
Sb (0.4552, 0.7363, 0.1109)  1 Ir 2.63, 2 Se 2.72-2.84
Sb (0.5448, 0.2637, 0.8891)  1 Ir 2.63, 2 Se 2.72-2.84
Ir (0.7559, 0.6400, 0.5371)  6 Sb 2.61-2.74
Ir (0.2441, 0.3600, 0.4629)  6 Sb 2.61-2.74
Ir (0.2559, 0.8600, 0.9629)  6 Sb 2.61-2.74
Ir (0.7441, 0.1400, 0.0371)  6 Sb 2.61-2.74
Se (0.2712, 0.4776, 0.0877)  3 Sb 2.70-2.84
Se (0.7288, 0.5224, 0.9123)  3 Sb 2.70-2.84
Se (0.7712, 0.0224, 0.4123)  3 Sb 2.70-2.84
Se (0.2288, 0.9776, 0.5877)  3 Sb 2.70-2.84

Formation energy without anion corrections: -9 kJ/mol of atoms
Offset from the most stable computed form: 0 meV/atom
VASP energy: -5.036 eV/atom
M_tot: 0.00 μB per cell
Symmetry: P2_1/c

---

Record 2
RuRhC | GGA-PBE | optimized geometry

a = 6.5472 Å, b = 2.7597 Å, c = 9.7145 Å
α = 90.00°, β = 126.83°, γ = 90.00°
Closest atoms and distances in Å follow each position.
Element x y z (fractional)
Ru (0.7168, 0.0000, 0.0408)  2 C 2.08
Ru (0.7168, 0.5000, 0.5408)  2 C 2.08
Ru (0.5562, 0.0000, 0.2482)  2 C 2.15
Ru (0.5562, 0.5000, 0.7482)  2 C 2.15
C (0.4925, 0.0000, 0.5563)  1 C 1.42
C (0.4925, 0.5000, 0.0563)  1 C 1.42
C (0.2327, 0.0000, 0.4101)  1 C 1.42
C (0.2327, 0.5000, 0.9101)  1 C 1.42
Rh (0.0060, 0.0000, 0.9253)  2 C 2.10
Rh (0.0060, 0.5000, 0.4253)  2 C 2.10
Rh (0.1763, 0.0000, 0.7277)  2 C 2.10
Rh (0.1763, 0.5000, 0.2277)  2 C 2.10

Offset from the most stable computed form: 72 meV/atom
VASP energy: -8.221 eV/atom
M_tot: 0.00 μB per cell
Symmetry: Cm

---

Record 3
Ca2CdGa | GGA-PBE | optimized geometry

a = 5.3081 Å, b = 5.3081 Å, c = 5.3081 Å
α = 60.00°, β = 60.00°, γ = 60.00°
Closest atoms and distances in Å follow each position.
Element x y z (fractional)
Ca (0.5000, 0.5000, 0.5000)  4 Ga 3.25, 4 Cd 3.25
Ca (0.0000, 0.0000, 0.0000)  4 Ga 3.25, 4 Cd 3.25
Ga (0.7500, 0.7500, 0.7500)  8 Ca 3.25
Cd (0.2500, 0.2500, 0.2500)  8 Ca 3.25

VASP energy: -2.390 eV/atom
M_tot: 0.00 μB per cell
Symmetry: Fm-3m

---

Record 4
Hf2InTc | GGA-PBE | optimized geometry

a = 3.2459 Å, b = 3.2459 Å, c = 9.2345 Å
α = 79.88°, β = 79.88°, γ = 60.00°
Closest atoms and distances in Å follow each position.
Element x y z (fractional)
Hf (0.2612, 0.2612, 0.2163)  3 Tc 2.71
Hf (0.7388, 0.7388, 0.7837)  3 Tc 2.71
Tc (0.0000, 0.0000, 0.0000)  6 Hf 2.71
In (0.5000, 0.5000, 0.5000)  6 Hf 3.18, 6 In 3.25

VASP energy: -8.410 eV/atom
M_tot: 0.00 μB per cell
Symmetry: R-3m

---

Record 5
TiCoCuW2 | GGA-PBE | optimized geometry

a = 4.4631 Å, b = 4.3787 Å, c = 4.4631 Å
α = 90.00°, β = 90.00°, γ = 90.00°
Closest atoms and distances in Å follow each position.
Element x y z (fractional)
Co (0.0000, 0.0000, 0.0000)  2 Ti 2.19, 4 W 2.23
Cu (0.5000, 0.5000, 0.5000)  8 W 3.13, 4 Ti 3.16
W (0.0000, 0.0000, 0.5000)  2 Co 2.23
W (0.5000, 0.0000, 0.0000)  2 Co 2.23
Ti (0.0000, 0.5000, 0.0000)  2 Co 2.19

Offset from the most stable computed form: 0 meV/atom
VASP energy: -7.881 eV/atom
M_tot: 0.00 μB per cell
Symmetry: P4/mmm

---

Record 6
CaLuZnRu | GGA-PBE | optimized geometry

a = 4.8723 Å, b = 4.8723 Å, c = 4.8723 Å
α = 60.00°, β = 60.00°, γ = 60.00°
Closest atoms and distances in Å follow each position.
Element x y z (fractional)
Ru (0.7500, 0.7500, 0.7500)  4 Ca 2.98, 4 Lu 2.98
Zn (0.2500, 0.2500, 0.2500)  4 Ca 2.98, 4 Lu 2.98
Lu (0.5000, 0.5000, 0.5000)  4 Ru 2.98, 4 Zn 2.98
Ca (0.0000, 0.0000, 0.0000)  4 Ru 2.98, 4 Zn 2.98

VASP energy: -4.418 eV/atom
M_tot: 0.00 μB per cell
Symmetry: F-43m